This record from the Alexandria database describes crystalline NbNiO3 at its relaxed geometry. The functional is PBE with a Hubbard U.

abc: 5.1702 5.1704 5.6997
angles: 63.03 63.03 60.00
Last column: nearest neighbours and their distance in Å.
Fractional positions:
Nb  0.8502  0.8502  0.4495  6 O 2.02-2.16
Nb  0.1498  0.1498  0.5506  6 O 2.02-2.16
Ni  0.3492  0.3492  0.9523  6 O 2.04-2.17
Ni  0.6508  0.6508  0.0477  6 O 2.04-2.17
O  0.7508  0.4396  0.7472  2 Nb 2.02-2.16, 2 Ni 2.04-2.17
O  0.0624  0.7508  0.7472  2 Nb 2.02-2.16, 2 Ni 2.04-2.17
O  0.4396  0.0624  0.7472  2 Nb 2.02-2.16, 2 Ni 2.04-2.17
O  0.2492  0.5604  0.2528  2 Nb 2.02-2.16, 2 Ni 2.04-2.17
O  0.9376  0.2492  0.2528  2 Nb 2.02-2.16, 2 Ni 2.04-2.17
O  0.5604  0.9376  0.2528  2 Nb 2.02-2.16, 2 Ni 2.04-2.17

## Properties
Fermi-level density of states: 2.2 states/eV/f.u.
Electronic total energy: -7.3317 eV per atom
M_tot: 1.0 μB per formula unit
Symmetry: R-3, No. 148